# 1
KF3: optimized geometry, PBE.

Unit cell a=3.9866 b=3.9866 c=17.4694 alpha=90.00 beta=90.00 gamma=120.00
Space group R-3m (No. 166, hexagonal axes)
Asymmetric unit:
K1 0.0000 0.0000 0.0000 [3 per cell]
F1 0.0000 0.0000 0.4019 [6 per cell]
F2 0.0000 0.0000 0.5000 [3 per cell]

Properties
D(E_F) in states/eV per atom: 0.0000
M_tot in μB per cell: 0.00
E_tot in Ry/atom: -0.2302
Crystal system: trigonal

=====

# 2
SmCo4Ge12: optimized geometry, PBE.

Unit cell a=8.3925 b=8.3925 c=8.3925 alpha=90.00 beta=90.00 gamma=90.00
Space group Im-3 (No. 204)
Asymmetric unit:
Sm1 0.0000 0.0000 0.0000 [2 per cell]
Co1 0.2500 0.2500 0.2500 [8 per cell]
Ge1 0.0000 0.1658 0.3431 [24 per cell]

Properties
D(E_F) in states/eV per atom: 0.8423
DFT formation energy in eV/atom: -0.126
M_tot in μB per cell: 0.00
Crystal system: cubic

=====

# 3
Y2Tm5Th4: optimized geometry, PBE.

Unit cell a=3.5579 b=8.6017 c=11.8028 alpha=104.65 beta=98.59 gamma=90.07
Space group P-1 (No. 2)
Asymmetric unit:
Y1 0.0907 0.2220 0.1814 [2 per cell]
Tm1 0.0000 0.5000 0.0000 [1 per cell]
Tm2 0.2716 0.6846 0.5429 [2 per cell]
Tm3 0.3635 0.4033 0.7267 [2 per cell]
Th1 0.1820 0.9530 0.3649 [2 per cell]
Th2 0.4538 0.1383 0.9076 [2 per cell]

Properties
D(E_F) in states/eV per atom: 1.4294
Energy above the most stable polymorph in this dataset in eV/atom: 0.000
DFT formation energy in eV/atom: 0.026
M_tot in μB per cell: 0.00
Crystal system: triclinic

=====

# 4
CeZrCo2H8: optimized geometry, PBE.

Unit cell a=4.2901 b=4.2901 c=19.6319 alpha=90.00 beta=90.00 gamma=120.00
Space group R-3 (No. 148, hexagonal axes)
Asymmetric unit:
Ce1 0.0000 0.0000 0.0000 [3 per cell]
Zr1 0.0000 0.0000 0.5000 [3 per cell]
Co1 0.0000 0.0000 0.2402 [6 per cell]
H1 0.0000 0.0000 0.3213 [6 per cell]
H2 0.0030 0.7253 0.8999 [18 per cell]

Properties
D(E_F) in states/eV per atom: 0.2669
M_tot in μB per cell: 5.23
E_tot in Ry/atom: -0.3548
Crystal system: trigonal

=====

# 5
CePr2TmSe4: optimized geometry, PBE.

Unit cell a=7.2749 b=4.1420 c=7.2926 alpha=90.00 beta=108.86 gamma=90.00
Space group P2/m (No. 10)
Asymmetric unit:
Ce1 0.0000 0.0000 0.0000 [1 per cell]
Pr1 0.0000 0.5000 0.5000 [1 per cell]
Pr2 0.5000 0.0000 0.5000 [1 per cell]
Tm1 0.5000 0.5000 0.0000 [1 per cell]
Se1 0.2543 0.5000 0.2384 [2 per cell]
Se2 0.2637 0.0000 0.7676 [2 per cell]

Properties
D(E_F) in states/eV per atom: 1.0537
M_tot in μB per cell: 0.92
E_tot in Ry/atom: -0.4435
Crystal system: monoclinic

=====

# 6
K2BaTe: optimized geometry, PBE.

Unit cell a=5.3320 b=5.3320 c=29.2374 alpha=90.00 beta=90.00 gamma=120.00
Space group R-3m (No. 166, hexagonal axes)
Asymmetric unit:
K1 0.0000 0.0000 0.2144 [6 per cell]
Ba1 0.0000 0.0000 0.0000 [3 per cell]
Te1 0.0000 0.0000 0.5000 [3 per cell]

Properties
D(E_F) in states/eV per atom: 0.3759
M_tot in μB per cell: 0.01
E_tot in Ry/atom: -0.1670
Crystal system: trigonal

=====

# 7
La16Nd7Ho6: optimized geometry, PBE.

Unit cell a=16.3132 b=16.3132 c=16.3132 alpha=90.00 beta=90.00 gamma=90.00
Space group Fm-3m (No. 225)
Asymmetric unit:
La1 0.1250 0.1250 0.1250 [32 per cell]
La2 0.1512 0.1512 0.3488 [32 per cell]
Nd1 0.0000 0.0000 0.0000 [4 per cell]
Nd2 0.0000 0.2500 0.2500 [24 per cell]
Ho1 0.0000 0.0000 0.2623 [24 per cell]

Properties
D(E_F) in states/eV per atom: 1.3256
DFT formation energy in eV/atom: 0.203
M_tot in μB per cell: 0.00
Crystal system: cubic

=====

# 8
Ce2CoAs4Rh3: optimized geometry, PBE.

Unit cell a=4.2932 b=4.2932 c=9.7600 alpha=90.00 beta=90.00 gamma=90.00
Space group P-4m2 (No. 115)
Asymmetric unit:
Ce1 0.0000 0.5000 0.2468 [2 per cell]
Co1 0.5000 0.5000 0.0000 [1 per cell]
As1 0.0000 0.0000 0.5000 [1 per cell]
As2 0.0000 0.5000 0.8712 [2 per cell]
As3 0.5000 0.5000 0.5000 [1 per cell]
Rh1 0.0000 0.0000 0.0000 [1 per cell]
Rh2 0.0000 0.5000 0.6221 [2 per cell]

Properties
D(E_F) in states/eV per atom: 0.7898
DFT formation energy in eV/atom: -0.864
M_tot in μB per cell: 0.73
Crystal system: tetragonal

=====

# 9
Li2TbPuO6: optimized geometry, PBE.

Unit cell a=5.3466 b=5.3466 c=15.6335 alpha=90.00 beta=90.00 gamma=120.00
Space group R-3 (No. 148, hexagonal axes)
Asymmetric unit:
Li1 0.0000 0.0000 0.2002 [6 per cell]
Tb1 0.0000 0.0000 0.0000 [3 per cell]
Pu1 0.0000 0.0000 0.5000 [3 per cell]
O1 0.0091 0.6434 0.2385 [18 per cell]

Properties
M_tot in μB per cell: 3.00
E_tot in Ry/atom: -0.5763
Crystal system: trigonal

=====

# 10
CaTbIr: optimized geometry, PBE.

Unit cell a=3.4592 b=3.4592 c=13.2145 alpha=90.00 beta=90.00 gamma=90.00
Space group I4mm (No. 107)
Asymmetric unit:
Ca1 0.0000 0.0000 0.0000 [2 per cell]
Tb1 0.0000 0.0000 0.2531 [2 per cell]
Ir1 0.0000 0.0000 0.6400 [2 per cell]

Properties
D(E_F) in states/eV per atom: 0.5101
Energy above the most stable polymorph in this dataset in eV/atom: 0.076
DFT formation energy in eV/atom: -0.471
M_tot in μB per cell: 0.00
Crystal system: tetragonal

=====

# 11
Ti4GaSn3: optimized geometry, PBE.

Unit cell a=5.5148 b=11.0183 c=5.5147 alpha=90.00 beta=90.00 gamma=90.00
Space group Pmmn (No. 59, origin choice 2)
Asymmetric unit:
Ti1 0.2500 0.0068 0.2502 [4 per cell]
Ti2 0.2500 0.2500 0.7493 [2 per cell]
Ti3 0.2500 0.7500 0.7498 [2 per cell]
Ga1 0.2500 0.2500 0.2494 [2 per cell]
Sn1 0.2500 0.0000 0.7502 [4 per cell]
Sn2 0.2500 0.7500 0.2498 [2 per cell]

Properties
D(E_F) in states/eV per atom: 0.5732
DFT formation energy in eV/atom: -0.049
M_tot in μB per cell: 0.00
Crystal system: orthorhombic

=====

# 12
LiMg12Ag6: optimized geometry, PBE.

Unit cell a=10.1208 b=10.1208 c=12.8089 alpha=90.00 beta=90.00 gamma=120.00
Space group R-3 (No. 148, hexagonal axes)
Asymmetric unit:
Li1 0.0000 0.0000 0.0000 [3 per cell]
Mg1 0.0289 0.8412 0.8202 [18 per cell]
Mg2 0.0551 0.2152 0.4118 [18 per cell]
Ag1 0.0263 0.5952 0.7060 [18 per cell]

Properties
D(E_F) in states/eV per atom: 0.3519
DFT formation energy in eV/atom: -0.149
M_tot in μB per cell: 0.00
Crystal system: trigonal